# 1
First-principles (PBE) data for an optimized crystal structure of Cs2KTlSb2, as listed in Alexandria via LeMat-Bulk.

## Properties
uncorrected energy: -31.4 eV per cell
V: 273.6 Å³/f.u.
formation energy without anion corrections: -0.38 eV/atom
space group: No. 72

Unit cell a=8.1634 b=7.8231 c=10.2653 alpha=112.40 beta=113.43 gamma=90.00
Positions (direct):
Cs  0.4343  0.1709  0.3418
Cs  0.5657  0.8291  0.6582
Cs  0.0925  0.3291  0.6582
Cs  0.9075  0.6709  0.3418
K  0.0000  0.7500  0.0000
K  0.0000  0.2500  0.0000
Tl  0.5000  0.7500  0.0000
Tl  0.5000  0.2500  0.0000
Sb  0.7989  0.0966  0.1932
Sb  0.3944  0.5966  0.1932
Sb  0.6056  0.4034  0.8068
Sb  0.2011  0.9034  0.8068



# 2
First-principles (PBE) data for an optimized crystal structure of Cs2KTl4Sb3, as listed in Alexandria via LeMat-Bulk.

## Properties
uncorrected energy: -26.6 eV per cell
V: 405.2 Å³/f.u.
formation energy without anion corrections: -0.19 eV/atom
space group: No. 115
DOS at the Fermi energy: 3.7 states/eV/cell

Unit cell a=5.3456 b=5.3456 c=14.1804 alpha=90.00 beta=90.00 gamma=90.00
Positions (direct):
Cs  0.5000  0.0000  0.2266
Cs  0.0000  0.5000  0.7734
K  0.5000  0.5000  0.5000
Tl  0.5000  0.5000  0.0000
Tl  0.0000  0.0000  0.0000
Tl  0.5000  0.0000  0.6455
Tl  0.0000  0.5000  0.3545
Sb  0.0000  0.0000  0.5000
Sb  0.5000  0.0000  0.8806
Sb  0.0000  0.5000  0.1194



# 3
First-principles (PBE) data for an optimized crystal structure of CsKTl2Sb, as listed in Alexandria via LeMat-Bulk.

## Properties
uncorrected energy: -8.2 eV per cell
V: 285.9 Å³/f.u.
energy relative to the lowest polymorph listed for this composition: 712 meV per atom
formation energy without anion corrections: 0.51 eV/atom
space group: No. 123
DOS at the Fermi energy: 3.8 states/eV/cell

Unit cell a=6.5748 b=6.6134 c=6.5748 alpha=90.00 beta=90.00 gamma=90.00
Positions (direct):
Cs  0.0000  0.0000  0.0000
Sb  0.0000  0.5000  0.0000
Tl  0.0000  0.0000  0.5000
Tl  0.5000  0.0000  0.0000
K  0.5000  0.5000  0.5000